Record 1
Compound: TbPrPb2
Source: Alexandria
Functional: GGA-PBE
Structure: optimized geometry

abc: 3.703 8.193 16.988
angles: 90.00 90.00 90.00
Fractional positions:
1 Pb 0.750 0.201 0.752
2 Tb 0.750 0.454 0.891
3 Pr 0.750 0.553 0.366
4 Pr 0.250 0.447 0.634
5 Pr 0.750 0.053 0.134
6 Pb 0.750 0.764 0.001
7 Pb 0.750 0.264 0.499
8 Pb 0.250 0.299 0.252
9 Pb 0.250 0.799 0.248
10 Pb 0.250 0.236 0.999
11 Tb 0.250 0.546 0.109
12 Tb 0.750 0.954 0.609
13 Tb 0.250 0.046 0.391
14 Pr 0.250 0.947 0.866
15 Pb 0.250 0.736 0.501
16 Pb 0.750 0.701 0.748

space group = Pnma, No. 62
V = 515 Å³/cell
size of the total moment = 0.000 Bohr magnetons per cell

Record 2
Compound: Tb3Pr2Pb4
Source: Alexandria
Functional: GGA-PBE
Structure: optimized geometry

abc: 8.254 8.526 8.503
angles: 90.00 90.00 111.35
Fractional positions:
1 Pr 0.559 0.194 0.321
2 Pr 0.941 0.806 0.821
3 Tb 0.000 0.500 0.500
4 Pb 0.360 0.491 0.360
5 Pb 0.667 0.914 0.041
6 Tb 0.761 0.755 0.339
7 Pb 0.640 0.509 0.640
8 Pr 0.059 0.194 0.179
9 Tb 0.239 0.245 0.661
10 Pb 0.333 0.086 0.959
11 Tb 0.739 0.245 0.839
12 Pb 0.167 0.914 0.459
13 Pb 0.833 0.086 0.541
14 Tb 0.261 0.755 0.161
15 Tb 0.500 0.500 0.000
16 Pb 0.860 0.491 0.140
17 Pr 0.441 0.806 0.679
18 Pb 0.140 0.509 0.860

space group = P2_1/c, No. 14
V = 557 Å³/cell
size of the total moment = 0.000 Bohr magnetons per cell

Record 3
Compound: TbPr5Pb4
Source: Alexandria
Functional: GGA-PBE
Structure: optimized geometry

abc: 5.539 7.386 11.514
angles: 129.23 103.92 90.00
Fractional positions:
1 Pb 0.992 0.740 0.983
2 Pr 0.833 0.673 0.666
3 Pb 0.673 0.099 0.347
4 Tb 0.500 0.000 0.000
5 Pr 0.166 0.836 0.332
6 Pb 0.327 0.901 0.653
7 Pr 0.834 0.164 0.668
8 Pr 0.167 0.327 0.334
9 Pr 0.500 0.500 0.000
10 Pb 0.008 0.260 0.017

space group = C2/m, No. 12
V = 347 Å³/cell
size of the total moment = 0.000 Bohr magnetons per cell

Record 4
Compound: Tb5Pr3Pb2
Source: Alexandria
Functional: GGA-PBE
Structure: optimized geometry

abc: 6.525 10.748 10.748
angles: 94.86 72.33 72.33
Fractional positions:
1 Tb 0.250 0.500 0.500
2 Tb 0.401 0.762 0.437
3 Pb 0.642 0.007 0.710
4 Tb 0.750 0.500 0.500
5 Pr 0.250 0.000 0.000
6 Tb 0.505 0.745 0.745
7 Tb 0.099 0.563 0.238
8 Tb 0.599 0.238 0.563
9 Pr 0.873 0.901 0.354
10 Pr 0.627 0.646 0.099
11 Pb 0.142 0.710 0.007
12 Pb 0.858 0.290 0.993
13 Pr 0.127 0.099 0.646
14 Tb 0.495 0.255 0.255
15 Pr 0.373 0.354 0.901
16 Tb 0.005 0.745 0.745
17 Pb 0.358 0.993 0.290
18 Tb 0.901 0.437 0.762
19 Tb 0.995 0.255 0.255
20 Pr 0.750 0.000 0.000

space group = Ibam, No. 72
V = 671 Å³/cell
size of the total moment = 0.000 Bohr magnetons per cell

Record 5
Compound: Tb3Pr2Pb
Source: Alexandria
Functional: GGA-PBE
Structure: optimized geometry

abc: 4.966 4.937 8.142
angles: 107.65 90.00 90.00
Fractional positions:
1 Pr 0.000 0.338 0.676
2 Pr 0.000 0.662 0.324
3 Pb 0.000 0.000 0.000
4 Tb 0.500 0.836 0.671
5 Tb 0.500 0.164 0.329
6 Tb 0.500 0.500 0.000

space group = Cmmm, No. 65
V = 190 Å³/cell
size of the total moment = 0.000 Bohr magnetons per cell

Record 6
Compound: TbPr5Pb5
Source: Alexandria
Functional: GGA-PBE
Structure: optimized geometry

abc: 6.448 8.064 8.793
angles: 106.10 90.00 113.56
Site moments in Bohr magnetons follow the coordinates.
Fractional positions:
1 Pr 0.669 0.339 0.334  0.02
2 Pb 0.837 0.674 0.164  0.00
3 Pr 0.335 0.670 0.171  0.03
4 Pb 0.500 0.000 0.000  -0.01
5 Pb 0.163 0.326 0.836  0.00
6 Pr 0.000 0.000 0.500  0.06
7 Pb 0.163 0.326 0.330  0.00
8 Tb 0.000 0.000 0.000  0.00
9 Pr 0.331 0.661 0.666  0.02
10 Pr 0.665 0.330 0.829  0.03
11 Pb 0.837 0.674 0.670  0.00

space group = C2/m, No. 12
V = 399 Å³/cell
size of the total moment = 0.546 Bohr magnetons per cell

Number 1: E_form -1.59 eV/f.u.. Number 2: E_form -5.40 eV/f.u.. Number 3: E_form -3.85 eV/f.u.. Number 4: E_form -0.20 eV/f.u.. Number 5: E_form -1.03 eV/f.u.. Number 6: E_form -3.67 eV/f.u..